Version i
# Pm6NiAg2

An optimized crystal structure of Pm6NiAg2 (PBE, the Alexandria database).

Structure (CIF):
```
data_Pm6NiAg2
_space_group_name_H-M_alt 'P 1'
_space_group_IT_number 1
_space_group_name_Hall 'P 1'
_cell_length_a 6.8123
_cell_length_b 7.4950
_cell_length_c 10.4276
_cell_angle_alpha 90.00
_cell_angle_beta 85.37
_cell_angle_gamma 90.00
loop_
_atom_site_label
_atom_site_type_symbol
_atom_site_fract_x
_atom_site_fract_y
_atom_site_fract_z
Ni1 Ni 0.0000 0.0000 0.5000
Pm1 Pm 0.3662 0.5181 0.7503
Ag1 Ag 0.9333 0.3916 0.7413
Ni2 Ni 0.5000 0.5000 0.0000
Pm2 Pm 0.6550 0.1858 0.5588
Ag2 Ag 0.5667 0.8916 0.7587
Pm3 Pm 0.6338 0.4819 0.2497
Pm4 Pm 0.8168 0.6842 0.5467
Ag3 Ag 0.0667 0.6084 0.2587
Pm5 Pm 0.6832 0.1842 0.9533
Pm6 Pm 0.8450 0.6858 0.9412
Pm7 Pm 0.8662 0.9819 0.2503
Ag4 Ag 0.4333 0.1084 0.2413
Pm8 Pm 0.1550 0.3142 0.0588
Pm9 Pm 0.1338 0.0181 0.7497
Pm10 Pm 0.3450 0.8142 0.4412
Pm11 Pm 0.3168 0.8158 0.0467
Pm12 Pm 0.1832 0.3158 0.4533
```

***

Version ii
# Pm6NiAg2

An optimized crystal structure of Pm6NiAg2 (PBE, the Alexandria database).

Structure (CIF):
```
data_Pm6NiAg2
_space_group_name_H-M_alt 'P 1'
_space_group_IT_number 1
_space_group_name_Hall 'P 1'
_cell_length_a 8.6944
_cell_length_b 8.6944
_cell_length_c 8.6944
_cell_angle_alpha 72.95
_cell_angle_beta 69.75
_cell_angle_gamma 111.14
loop_
_atom_site_label
_atom_site_type_symbol
_atom_site_fract_x
_atom_site_fract_y
_atom_site_fract_z
Pm1 Pm 0.8322 0.7472 0.4205
Pm2 Pm 0.3314 0.6076 0.7237
Ni1 Ni 0.5000 0.5000 0.0000
Pm3 Pm 0.1678 0.2528 0.5795
Ag1 Ag 0.1371 0.6371 0.5000
Pm4 Pm 0.6686 0.9449 0.7237
Pm5 Pm 0.6686 0.3924 0.2763
Pm6 Pm 0.1678 0.7472 0.0850
Pm7 Pm 0.5508 0.7344 0.1836
Pm8 Pm 0.9180 0.7344 0.8164
Pm9 Pm 0.3314 0.0551 0.2763
Pm10 Pm 0.8322 0.2528 0.9150
Ag2 Ag 0.8629 0.3629 0.5000
Pm11 Pm 0.0820 0.2656 0.1836
Ni2 Ni 0.0000 0.0000 0.0000
Ag3 Ag 0.3535 0.0000 0.6464
Ag4 Ag 0.6464 0.0000 0.3535
Pm12 Pm 0.4492 0.2656 0.8164
```

***

Which of them is most stable, and which least? Most stable: version i; least stable: version ii.